# Na3Si2N4 | Alexandria via LeMat-Bulk | GGA-PBE | optimized geometry
# E_form (uncorrected) (eV per atom): -0.436
# Size of the total moment (μB/cell): 1.5
# Final energy (eV/atom): -5.78
data_Na3Si2N4
_chemical_formula_sum 'Na6 Si4 N8'
_cell_length_a 11.773
_cell_length_b 3.032
_cell_length_c 8.832
_cell_angle_alpha 90.00
_cell_angle_beta 130.08
_cell_angle_gamma 90.00
_symmetry_space_group_name_H-M 'C 1 2/m 1'
_symmetry_Int_Tables_number 12
_symmetry_space_group_name_Hall '-C 2y'
loop_
_atom_site_label
_atom_site_type_symbol
_atom_site_fract_x
_atom_site_fract_y
_atom_site_fract_z
Na1 Na 0.000 0.000 0.000
Na2 Na 0.115 0.500 0.799
Si1 Si 0.214 0.500 0.357
N1 N 0.135 0.000 0.374
N2 N 0.214 0.500 0.168

# Mg3Ga2Sn3 | Alexandria via LeMat-Bulk | GGA-PBE | optimized geometry
# Calculated formation energy (kJ/mol of atoms): -4
# Size of the total moment (μB/cell): 0.0
# Final energy (eV/atom): -2.89
data_Mg3Ga2Sn3
_chemical_formula_sum 'Mg9 Ga6 Sn9'
_cell_length_a 8.0247
_cell_length_b 8.0247
_cell_length_c 10.0625
_cell_angle_alpha 90.00
_cell_angle_beta 90.00
_cell_angle_gamma 120.00
_symmetry_space_group_name_H-M 'R 3 2'
_symmetry_Int_Tables_number 155
_symmetry_space_group_name_Hall 'R 3 2"'
loop_
_atom_site_label
_atom_site_type_symbol
_atom_site_fract_x
_atom_site_fract_y
_atom_site_fract_z
Mg1 Mg 0.0000 0.7308 0.0000
Ga1 Ga 0.0000 0.0000 0.2390
Sn1 Sn 0.0000 0.2686 0.5000

# Ba3P4O13 | Alexandria via LeMat-Bulk | GGA-PBE | optimized geometry
# E_form (uncorrected) (eV per atom): -2.659
# Size of the total moment (μB/cell): 0.0
# Final energy (eV/atom): -7.25
data_Ba3P4O13
_chemical_formula_sum 'Ba6 P8 O26'
_cell_length_a 7.671
_cell_length_b 8.807
_cell_length_c 10.752
_cell_angle_alpha 107.88
_cell_angle_beta 103.98
_cell_angle_gamma 102.91
_symmetry_space_group_name_H-M 'P -1'
_symmetry_Int_Tables_number 2
_symmetry_space_group_name_Hall '-P 1'
loop_
_atom_site_label
_atom_site_type_symbol
_atom_site_fract_x
_atom_site_fract_y
_atom_site_fract_z
Ba1 Ba 0.000 0.000 0.000
Ba2 Ba 0.138 0.226 0.731
Ba3 Ba 0.350 0.771 0.772
Ba4 Ba 0.500 0.000 0.500
P1 P 0.164 0.538 0.369
P2 P 0.171 0.200 0.361
P3 P 0.340 0.817 0.147
P4 P 0.345 0.477 0.134
O1 O 0.034 0.889 0.741
O2 O 0.039 0.510 0.722
O3 O 0.190 0.402 0.436
O4 O 0.202 0.831 0.227
O5 O 0.203 0.141 0.482
O6 O 0.212 0.307 0.029
O7 O 0.244 0.709 0.487
O8 O 0.303 0.613 0.070
O9 O 0.304 0.534 0.279
O10 O 0.307 0.879 0.028
O11 O 0.319 0.198 0.289
O12 O 0.447 0.503 0.823
O13 O 0.451 0.104 0.757

# Sc5Ga2Pb2 | Alexandria via LeMat-Bulk | GGA-PBE | optimized geometry
# Calculated formation energy (kJ/mol of atoms): -49
# Size of the total moment (μB/cell): 0.0
# Final energy (eV/atom): -5.53
data_Sc5Ga2Pb2
_chemical_formula_sum 'Sc20 Ga8 Pb8'
_cell_length_a 14.798
_cell_length_b 7.547
_cell_length_c 7.365
_cell_angle_alpha 90.00
_cell_angle_beta 90.00
_cell_angle_gamma 90.00
_symmetry_space_group_name_H-M 'C m c e'
_symmetry_Int_Tables_number 64
_symmetry_space_group_name_Hall '-C 2ac 2'
loop_
_atom_site_label
_atom_site_type_symbol
_atom_site_fract_x
_atom_site_fract_y
_atom_site_fract_z
Sc1 Sc 0.000 0.000 0.000
Sc2 Sc 0.126 0.176 0.326
Ga1 Ga 0.000 0.124 0.626
Pb1 Pb 0.216 0.000 0.000

Among the records above, which one has the lowest final energy? Ba3P4O13